Entry 1:
First-principles (PBE-GGA) data for a relaxed PrScInPt crystal, as listed in Alexandria.

Lattice parameters (Å, degrees): 7.2290 7.2290 7.2290 90.00 90.00 90.00
Last column: nearest neighbours and their distance in Å.
Space group F-43m (No. 216)
Unique sites:
1 Pr 0.0000 0.0000 0.0000 [4 per cell]  4 In 3.13, 4 Pt 3.13
2 Sc 0.0000 0.0000 0.5000 [4 per cell]  4 Pt 3.13, 4 In 3.13
3 In 0.2500 0.2500 0.2500 [4 per cell]  4 Pr 3.13, 4 Sc 3.13
4 Pt 0.2500 0.2500 0.7500 [4 per cell]  4 Pr 3.13, 4 Sc 3.13

Summary:
formation energy from the elements	-629	meV/atom



Entry 2:
First-principles (PBE-GGA) data for a relaxed PrNd2Au8 crystal, as listed in Alexandria.

Lattice parameters (Å, degrees): 8.0898 15.4061 5.2599 90.00 130.50 90.00
Last column: nearest neighbours and their distance in Å.
Space group C2/m (No. 12)
Unique sites:
1 Pr 0.0000 0.0000 0.0000 [2 per cell]  6 Au 3.10-3.35
2 Nd 0.0000 0.3145 0.5000 [4 per cell]  12 Au 3.08-3.23
3 Au 0.0000 0.2010 0.0000 [4 per cell]  6 Au 3.08-3.17, 4 Nd 3.08-3.16, 1 Pr 3.10
4 Au 0.0000 0.5000 0.2498 [4 per cell]  6 Au 2.63-2.94
5 Au 0.2271 0.1315 0.7276 [8 per cell]  4 Au 2.79-3.08

Summary:
formation energy from the elements	-685	meV/atom



Entry 3:
First-principles (PBE-GGA) data for a relaxed Er2TmCr crystal, as listed in Alexandria.

Lattice parameters (Å, degrees): 3.3606 3.3606 34.0646 90.00 90.00 120.00
Last column: nearest neighbours and their distance in Å.
Space group R-3m (No. 166, hexagonal axes)
Unique sites:
1 Er 0.0000 0.0000 0.0836 [6 per cell]  1 Cr 2.85
2 Tm 0.0000 0.0000 0.5000 [3 per cell]  6 Tm 3.36, 6 Er 3.43
3 Cr 0.0000 0.0000 0.0000 [3 per cell]  2 Er 2.85

Summary:
formation energy from the elements	581	meV/atom



Entry 4:
First-principles (PBE-GGA) data for a relaxed Zn2PdBr6 crystal, as listed in Alexandria.

Lattice parameters (Å, degrees): 15.3474 11.2466 7.4789 90.00 118.97 90.00
Last column: nearest neighbours and their distance in Å.
Space group C2/c (No. 15)
Unique sites:
1 Zn 0.2257 0.1056 0.2835 [8 per cell]  4 Br 2.41-2.54
2 Pd 0.0000 0.3193 0.2500 [4 per cell]  4 Br 2.46-2.47
3 Br 0.1028 0.3426 0.6234 [8 per cell]  1 Zn 2.44, 1 Pd 2.47
4 Br 0.1495 0.3093 0.2084 [8 per cell]  1 Pd 2.46, 1 Zn 2.51
5 Br 0.1523 0.0350 0.9157 [8 per cell]  2 Zn 2.41-2.54

Summary:
raw formation energy	-0.631	eV/atom



Entry 5:
First-principles (PBE-GGA) data for a relaxed Sn4Br crystal, as listed in Alexandria.

Lattice parameters (Å, degrees): 5.6058 5.6058 5.6058 90.00 90.00 90.00
Last column: nearest neighbours and their distance in Å.
Space group Pm-3m (No. 221)
Unique sites:
1 Sn 0.0000 0.0000 0.0000 [1 per cell]  12 Sn 3.96
2 Sn 0.0000 0.5000 0.5000 [3 per cell]  2 Br 2.80
3 Br 0.5000 0.5000 0.5000 [1 per cell]  6 Sn 2.80

Summary:
raw formation energy	0.546	eV/atom



Entry 6:
First-principles (PBE-GGA) data for a relaxed Ba4MnCr crystal, as listed in Alexandria.

Lattice parameters (Å, degrees): 10.2956 10.2956 10.2956 90.00 90.00 90.00
Last column: nearest neighbours and their distance in Å.
Space group F-43m (No. 216)
Unique sites:
1 Ba 0.1251 0.1251 0.1251 [16 per cell]  6 Ba 3.64
2 Mn 0.0000 0.0000 0.5000 [4 per cell]  12 Ba 4.27, 4 Cr 4.46
3 Cr 0.2500 0.2500 0.7500 [4 per cell]  12 Ba 4.27, 4 Mn 4.46

Summary:
formation energy from the elements	1054	meV/atom



Entry 7:
First-principles (PBE-GGA) data for a relaxed La4NiSI2 crystal, as listed in Alexandria.

Lattice parameters (Å, degrees): 7.4934 4.1262 8.3172 90.00 107.23 90.00
Last column: nearest neighbours and their distance in Å.
Space group P2/m (No. 10)
Unique sites:
1 La 0.2163 0.0000 0.1889 [2 per cell]  2 Ni 2.80, 1 S 2.99
2 La 0.2756 0.5000 0.8017 [2 per cell]  2 S 2.86, 1 Ni 3.00
3 Ni 0.0000 0.5000 0.0000 [1 per cell]  6 La 2.80-3.00
4 S 0.5000 0.0000 0.0000 [1 per cell]  6 La 2.86-2.99
5 I 0.0000 0.0000 0.5000 [1 per cell]  6 La 3.43-3.44
6 I 0.5000 0.5000 0.5000 [1 per cell]  6 La 3.41-3.49

Summary:
raw formation energy	-1.170	eV/atom



Entry 8:
First-principles (PBE-GGA) data for a relaxed AcPrPb crystal, as listed in Alexandria.

Lattice parameters (Å, degrees): 7.8501 7.8501 7.8501 90.00 90.00 90.00
Last column: nearest neighbours and their distance in Å.
Space group F-43m (No. 216)
Unique sites:
1 Ac 0.0000 0.0000 0.0000 [4 per cell]  4 Pb 3.40
2 Pr 0.0000 0.0000 0.5000 [4 per cell]  4 Pb 3.40
3 Pb 0.2500 0.2500 0.7500 [4 per cell]  4 Pr 3.40, 4 Ac 3.40

Summary:
energy relative to the lowest polymorph listed for this composition	196.8	meV/atom
formation energy from the elements	-245	meV/atom



Entry 9:
First-principles (PBE-GGA) data for a relaxed BeAg2P2 crystal, as listed in Alexandria.

Lattice parameters (Å, degrees): 5.7802 5.7802 4.9912 90.00 90.00 90.00
Last column: nearest neighbours and their distance in Å.
Space group P4/mbm (No. 127)
Unique sites:
1 Be 0.0000 0.0000 0.0000 [2 per cell]  4 P 2.25
2 Ag 0.1850 0.3150 0.5000 [4 per cell]  2 P 2.53
3 P 0.1346 0.3654 0.0000 [4 per cell]  1 P 2.20, 2 Be 2.25

Summary:
formation energy from the elements	119	meV/atom



Entry 10:
First-principles (PBE-GGA) data for a relaxed Na2AgAu2 crystal, as listed in Alexandria.

Lattice parameters (Å, degrees): 4.0775 4.0775 13.6570 90.00 90.00 90.00
Last column: nearest neighbours and their distance in Å.
Space group I4/mmm (No. 139)
Unique sites:
1 Na 0.0000 0.5000 0.2500 [4 per cell]  4 Na 2.88, 4 Au 2.91
2 Ag 0.0000 0.0000 0.0000 [2 per cell]  8 Au 3.18
3 Au 0.0000 0.0000 0.4020 [4 per cell]  1 Au 2.68, 4 Na 2.91

Summary:
energy relative to the lowest polymorph listed for this composition	317.4	meV/atom
formation energy from the elements	61	meV/atom



Entry 11:
First-principles (PBE-GGA) data for a relaxed ReSiP2 crystal, as listed in Alexandria.

Lattice parameters (Å, degrees): 3.0753 4.8340 8.5977 90.00 90.00 90.00
Last column: nearest neighbours and their distance in Å.
Space group Cmm2 (No. 35)
Unique sites:
1 Re 0.0000 0.0000 0.0000 [2 per cell]  2 P 2.37, 2 Si 2.56
2 Si 0.0000 0.5000 0.2380 [2 per cell]  2 P 2.33, 2 Re 2.56
3 P 0.0000 0.0000 0.4420 [2 per cell]  2 Si 2.33
4 P 0.0000 0.5000 0.7899 [2 per cell]  2 Re 2.37

Summary:
raw formation energy	0.490	eV/atom



Entry 12:
First-principles (PBE-GGA) data for a relaxed Ca11Si4ClO18 crystal, as listed in Alexandria.

Lattice parameters (Å, degrees): 10.5703 10.5703 8.9136 90.00 90.00 90.00
Last column: nearest neighbours and their distance in Å.
Space group I4/mmm (No. 139)
Unique sites:
1 Ca 0.0000 0.0000 0.0000 [2 per cell]  8 O 2.54
2 Ca 0.0000 0.2563 0.2934 [16 per cell]  4 O 2.32-2.41
3 Ca 0.0000 0.5000 0.0000 [4 per cell]  6 O 2.23-2.40
4 Si 0.2118 0.2118 0.0000 [8 per cell]  4 O 1.65-1.66
5 Cl 0.0000 0.0000 0.5000 [2 per cell]  8 Ca 3.28, 8 O 3.63
6 O 0.0000 0.5000 0.2500 [4 per cell]  2 Ca 2.23
7 O 0.1344 0.3164 0.5000 [16 per cell]  1 Si 1.65
8 O 0.1451 0.1451 0.1492 [16 per cell]  1 Si 1.66

Summary:
raw formation energy	-2.950	eV/atom



| no. | total moment (μB/cell) |
| --- | --- |
| 1 | 0.00 |
| 2 | 0.00 |
| 3 | 11.60 |
| 4 | 0.00 |
| 5 | 0.00 |
| 6 | 32.17 |
| 7 | 0.00 |
| 8 | 0.95 |
| 9 | 0.00 |
| 10 | 0.00 |
| 11 | 0.00 |
| 12 | 0.00 |